No. 1
This record from the Alexandria database describes Mo3Br after structural relaxation. The functional is PBE.

Summary:
relative energy among the computed polymorphs	570	meV per atom
space group	Fm-3m (225)
final energy	-7.54	eV per atom
Fermi-level density of states	5.63	states/eV/f.u.
volume	16.4	A^3/atom

a b c (Å): 4.5293 4.5293 4.5293
angles (deg): 60.00 60.00 60.00
Last column: nearest neighbours and their distance in Å.
Element x y z (fractional)
Mo  0.5000  0.5000  0.5000  8 Mo 2.77
Mo  0.7500  0.7500  0.7500  4 Mo 2.77, 4 Br 2.77
Mo  0.2500  0.2500  0.2500  4 Mo 2.77, 4 Br 2.77
Br  0.0000  0.0000  0.0000  8 Mo 2.77

---

No. 2
This record from the Alexandria database describes Fe3HRh after structural relaxation. The functional is PBE.

Summary:
relative energy among the computed polymorphs	0	meV per atom
space group	Imma (74)
final energy	-7.19	eV per atom
Fermi-level density of states	3.76	states/eV/f.u.
volume	10.6	A^3/atom

a b c (Å): 5.1832 5.1832 5.7934
angles (deg): 56.03 56.03 66.56
Last column: nearest neighbours and their distance in Å.
Element x y z (fractional)
H  0.2479  0.2479  0.0023  5 Fe 1.78-1.95, 1 Rh 1.82
H  0.7521  0.7521  0.9977  5 Fe 1.78-1.95, 1 Rh 1.82
Fe  0.0000  0.5000  0.7691  2 H 1.95
Fe  0.5238  0.5238  0.7262  1 H 1.78
Fe  0.5000  0.0000  0.7691  2 H 1.95
Fe  0.0000  0.5000  0.2309  2 H 1.95
Fe  0.4762  0.4762  0.2738  1 H 1.78
Fe  0.5000  0.0000  0.2309  2 H 1.95
Rh  0.9663  0.9663  0.2837  1 H 1.82
Rh  0.0337  0.0337  0.7163  1 H 1.82